*one*
DFT (PBE) results for crystalline KBeZn3 at its relaxed geometry.

abc: 4.6351 4.6351 4.6351
angles: 90.00 90.00 90.00
Last column: nearest neighbours and their distance in Å.
Space group Pm-3m (No. 221)
One atom of each set of equivalent atoms:
K (0.0000, 0.0000, 0.0000) x1  12 Zn 3.28
Be (0.5000, 0.5000, 0.5000) x1  6 Zn 2.32
Zn (0.0000, 0.5000, 0.5000) x3  2 Be 2.32

Results
- Volume: 19.9 Å³/atom

=====

*two*
DFT (PBE) results for crystalline KBeZn3 at its relaxed geometry.

abc: 6.3420 6.3420 6.3420
angles: 90.00 90.00 90.00
Last column: nearest neighbours and their distance in Å.
Space group Pm-3m (No. 221)
One atom of each set of equivalent atoms:
K (0.0000, 0.0000, 0.0000) x1  6 Zn 3.17
Be (0.5000, 0.5000, 0.5000) x1  12 Zn 4.48
Zn (0.0000, 0.0000, 0.5000) x3  2 K 3.17

Results
- Volume: 51.0 Å³/atom

=====

Most stable structure - *one*; separation to the second - 1.105 eV/atom.

=====

*one*
DFT (PBE) results for crystalline LaBe2 at its relaxed geometry.

abc: 4.3933 4.3933 10.5999
angles: 90.00 90.00 90.00
Last column: nearest neighbours and their distance in Å.
Space group I4/mcm (No. 140)
One atom of each set of equivalent atoms:
La (0.0000, 0.0000, 0.2500) x4  4 La 3.11, 8 Be 3.12
Be (0.1662, 0.3338, 0.0000) x8  1 Be 2.07

Results
- Volume: 17.0 Å³/atom

=====

*two*
DFT (PBE) results for crystalline LaBe2 at its relaxed geometry.

abc: 4.2409 4.2409 3.6757
angles: 90.00 90.00 120.00
Last column: nearest neighbours and their distance in Å.
Space group P6/mmm (No. 191)
One atom of each set of equivalent atoms:
La (0.0000, 0.0000, 0.0000) x1  12 Be 3.06
Be (0.3333, 0.6667, 0.5000) x2  3 Be 2.45

Results
- Volume: 19.1 Å³/atom

=====

Most stable structure - *two*; separation to the second - 0.008 eV/atom.

=====

*one*
DFT (PBE) results for crystalline La2Be at its relaxed geometry.

abc: 7.0613 7.0613 7.0613
angles: 90.00 90.00 90.00
Last column: nearest neighbours and their distance in Å.
Space group Fm-3m (No. 225)
One atom of each set of equivalent atoms:
La (0.2500, 0.2500, 0.2500) x8  4 Be 3.06
Be (0.0000, 0.0000, 0.0000) x4  8 La 3.06

Results
- Volume: 29.3 Å³/atom

=====

*two*
DFT (PBE) results for crystalline La2Be at its relaxed geometry.

abc: 3.7064 3.7064 12.1153
angles: 90.00 90.00 90.00
Last column: nearest neighbours and their distance in Å.
Space group I4/mmm (No. 139)
One atom of each set of equivalent atoms:
La (0.0000, 0.0000, 0.1355) x4  4 Be 3.09, 1 La 3.28
Be (0.0000, 0.0000, 0.5000) x2  8 La 3.09

Results
- Volume: 27.7 Å³/atom

=====

Most stable structure - *two*; separation to the second - 0.132 eV/atom.

=====

*one*
DFT (PBE) results for crystalline La2Be at its relaxed geometry.

abc: 5.2760 5.2760 3.1125
angles: 90.00 90.00 120.00
Last column: nearest neighbours and their distance in Å.
Space group P6/mmm (No. 191)
One atom of each set of equivalent atoms:
La (0.3333, 0.6667, 0.0000) x2  5 La 3.05-3.11
Be (0.0000, 0.0000, 0.5000) x1  2 Be 3.11, 12 La 3.42

Results
- Volume: 25.0 Å³/atom

=====

*two*
DFT (PBE) results for crystalline La2Be at its relaxed geometry.

abc: 7.1111 7.1111 7.5041
angles: 90.00 90.00 120.00
Last column: nearest neighbours and their distance in Å.
Space group P6_3/mmc (No. 194)
One atom of each set of equivalent atoms:
La (0.0000, 0.0000, 0.0000) x2  6 La 2.96
La (0.1862, 0.3724, 0.2500) x6  4 La 2.96-3.14, 2 Be 3.18
Be (0.3333, 0.6667, 0.5990) x4  1 Be 2.27

Results
- Volume: 27.4 Å³/atom

=====

*three*
DFT (PBE) results for crystalline La2Be at its relaxed geometry.

abc: 8.0803 8.0803 4.7480
angles: 90.00 90.00 90.00
Last column: nearest neighbours and their distance in Å.
Space group I4/mcm (No. 140)
One atom of each set of equivalent atoms:
La (0.1575, 0.3425, 0.0000) x8  6 La 3.18-3.48, 4 Be 3.27
Be (0.0000, 0.0000, 0.2500) x4  2 Be 2.37

Results
- Volume: 25.8 Å³/atom

=====

Most stable structure - *three*; separation to the second - 0.257 eV/atom.